# La2Sc

La2Sc after structural relaxation (PBE, Alexandria via LeMat-Bulk).

The energy above the most stable polymorph in this dataset comes out at 0 meV/atom. The value obtained for the formation energy is 0.05 eV per atom. The value obtained for the theoretical density is 5.6 g/cm³.

Cell lengths 3.5993, 5.0403, 10.5940 Å; angles 90.00, 90.00, 90.00 degrees
Space group Immm (No. 71)
Unique sites:
La1 0.0000 0.0000 0.1666 [4 per cell]
Sc1 0.0000 0.0000 0.5000 [2 per cell]